Record 1
Here is a relaxed structure of Ba2PbSe from the Alexandria database. Energies are from PBE.

Calculated values
As for the energy above the most stable polymorph in this dataset: 0.178 eV/atom.

a = 13.1373 Å, b = 4.2689 Å, c = 5.5548 Å
α = 90.00°, β = 96.40°, γ = 90.00°
Closest atoms and distances in Å follow each position.
Space group Cm (No. 8)
Symmetry-distinct sites (fractional):
Ba  0.0000  0.0000  0.0000  1 Se 3.36, 4 Pb 3.49-3.56
Ba  0.2435  0.5000  0.5393  4 Se 3.46-3.55, 3 Pb 3.58-3.69
Pb  0.4692  0.0000  0.4831  1 Se 3.46, 7 Ba 3.49-3.69
Se  0.2576  0.0000  0.0529  5 Ba 3.36-3.55, 1 Pb 3.46

Record 2
Here is a relaxed structure of Ba2PbSe from the Alexandria database. Energies are from PBE.

Calculated values
As for the energy above the most stable polymorph in this dataset: 0.168 eV/atom.

a = 7.9944 Å, b = 8.9718 Å, c = 4.0602 Å
α = 90.00°, β = 90.11°, γ = 90.00°
Closest atoms and distances in Å follow each position.
Space group C2/m (No. 12)
Symmetry-distinct sites (fractional):
Ba  0.2500  0.2500  0.0000  4 Pb 3.62-3.63, 4 Se 3.62-3.63, 2 Ba 4.00
Pb  0.0000  0.0000  0.5000  8 Ba 3.62-3.63, 2 Se 4.00
Se  0.0000  0.5000  0.5000  8 Ba 3.62-3.63, 2 Pb 4.00

Record 3
Here is a relaxed structure of Ba2PbSe from the Alexandria database. Energies are from PBE.

Calculated values
As for the energy above the most stable polymorph in this dataset: 0.253 eV/atom.

a = 8.9908 Å, b = 8.9908 Å, c = 8.6408 Å
α = 90.00°, β = 90.00°, γ = 90.00°
Closest atoms and distances in Å follow each position.
Space group I-42d (No. 122)
Symmetry-distinct sites (fractional):
Ba  0.2129  0.2500  0.1250  2 Se 3.14
Pb  0.0000  0.0000  0.5000  4 Ba 3.59
Se  0.0000  0.0000  0.0000  4 Ba 3.14

Record 4
Here is a relaxed structure of BaPb2Se from the Alexandria database. Energies are from PBE.

Calculated values
For the electronic total energy, the calculation gives -15.37 eV for the cell shown.

a = 3.9635 Å, b = 3.9635 Å, c = 8.6558 Å
α = 90.00°, β = 90.00°, γ = 90.00°
Closest atoms and distances in Å follow each position.
Space group P4mm (No. 99)
Symmetry-distinct sites (fractional):
Ba  0.0000  0.0000  0.0000  4 Se 3.20
Pb  0.0000  0.0000  0.5691  4 Pb 3.45, 4 Se 3.55, 1 Ba 3.73
Pb  0.5000  0.5000  0.3375  4 Pb 3.45
Se  0.5000  0.5000  0.8207  4 Ba 3.20, 4 Pb 3.55

Record 5
Here is a relaxed structure of BaPb2Se4 from the Alexandria database. Energies are from PBE.

Calculated values
For the electronic total energy, the calculation gives -116.88 eV for the cell shown.

a = 4.5712 Å, b = 15.1718 Å, c = 13.1444 Å
α = 90.00°, β = 90.00°, γ = 90.00°
Closest atoms and distances in Å follow each position.
Space group Cmcm (No. 63)
Symmetry-distinct sites (fractional):
Ba  0.0000  0.0983  0.2500  6 Se 3.16-3.40
Pb  0.0000  0.3728  0.0637  1 Se 2.74
Se  0.0000  0.0000  0.0000  4 Pb 3.11
Se  0.0000  0.2561  0.6575  1 Se 2.43
Se  0.0000  0.4542  0.2500  2 Pb 2.74

Record 6
Here is a relaxed structure of Ba2PbSe from the Alexandria database. Energies are from PBE.

Calculated values
As for the energy above the most stable polymorph in this dataset: 0.003 eV/atom.

a = 3.9711 Å, b = 3.9711 Å, c = 9.1444 Å
α = 90.00°, β = 90.00°, γ = 90.00°
Closest atoms and distances in Å follow each position.
Space group P4/mmm (No. 123)
Symmetry-distinct sites (fractional):
Ba  0.0000  0.0000  0.2162  4 Se 3.43, 4 Pb 3.82
Pb  0.5000  0.5000  0.5000  8 Ba 3.82, 4 Pb 3.97
Se  0.5000  0.5000  0.0000  8 Ba 3.43

Record 7
Here is a relaxed structure of BaPb2Se from the Alexandria database. Energies are from PBE.

Calculated values
For the electronic total energy, the calculation gives -30.07 eV for the cell shown.

a = 5.2099 Å, b = 5.3098 Å, c = 9.5396 Å
α = 90.00°, β = 90.00°, γ = 90.00°
Closest atoms and distances in Å follow each position.
Space group Imm2 (No. 44)
Symmetry-distinct sites (fractional):
Ba  0.0000  0.0000  0.0000  4 Se 3.43-3.67, 8 Pb 3.48-3.75
Pb  0.0000  0.0000  0.5531  2 Se 3.17, 2 Pb 3.26
Pb  0.0000  0.5000  0.2589  2 Pb 3.26, 4 Ba 3.48-3.63
Se  0.0000  0.5000  0.7344  2 Pb 3.17, 2 Ba 3.43

Record 8
Here is a relaxed structure of Ba2PbSe from the Alexandria database. Energies are from PBE.

Calculated values
As for the energy above the most stable polymorph in this dataset: 0.321 eV/atom.

a = 4.8578 Å, b = 4.8578 Å, c = 12.8818 Å
α = 90.00°, β = 90.00°, γ = 90.00°
Closest atoms and distances in Å follow each position.
Space group I-4m2 (No. 119)
Symmetry-distinct sites (fractional):
Ba  0.0000  0.0000  0.0000  4 Se 3.43
Ba  0.0000  0.5000  0.2500  4 Pb 3.43
Pb  0.0000  0.5000  0.7500  4 Ba 3.43
Se  0.0000  0.0000  0.5000  4 Ba 3.43

Record 9
Here is a relaxed structure of BaPbSe2 from the Alexandria database. Energies are from PBE.

Calculated values
For the electronic total energy, the calculation gives -70.23 eV for the cell shown.

a = 6.5668 Å, b = 4.8464 Å, c = 18.8983 Å
α = 90.00°, β = 90.00°, γ = 90.00°
Closest atoms and distances in Å follow each position.
Space group Pnma (No. 62)
Symmetry-distinct sites (fractional):
Ba  0.2455  0.2500  0.0663  6 Se 3.22-3.42
Pb  0.2337  0.2500  0.8340  4 Se 2.86-3.13
Se  0.2012  0.7500  0.1772  2 Pb 2.86-2.99
Se  0.2483  0.2500  0.4382  2 Pb 3.13, 4 Ba 3.27-3.42

Record 10
Here is a relaxed structure of BaPb2Se from the Alexandria database. Energies are from PBE.

Calculated values
For the electronic total energy, the calculation gives -15.83 eV for the cell shown.

a = 4.3073 Å, b = 4.7762 Å, c = 7.3955 Å
α = 90.00°, β = 106.74°, γ = 90.00°
Closest atoms and distances in Å follow each position.
Space group Pm (No. 6)
Symmetry-distinct sites (fractional):
Ba  0.0000  0.0000  0.0000  4 Se 3.22
Pb  0.2607  0.0000  0.5362  4 Pb 3.36
Pb  0.6923  0.5000  0.3971  1 Se 2.87
Se  0.4955  0.5000  0.9915  1 Pb 2.87, 4 Ba 3.22

Record 11
Here is a relaxed structure of BaPb2Se from the Alexandria database. Energies are from PBE.

Calculated values
For the electronic total energy, the calculation gives -15.47 eV for the cell shown.

a = 5.1106 Å, b = 5.7593 Å, c = 6.2974 Å
α = 109.56°, β = 90.03°, γ = 116.23°
Closest atoms and distances in Å follow each position.
Space group P1 (No. 1)
Symmetry-distinct sites (fractional):
Ba  0.0000  0.0000  0.0000  3 Se 3.22-3.36
Pb  0.4185  0.8375  0.4308  1 Se 3.04, 3 Pb 3.19-3.26
Pb  0.7330  0.4652  0.4236  2 Se 3.12-3.35, 3 Pb 3.19-3.26
Se  0.6565  0.3138  0.8958  3 Pb 3.04-3.35, 3 Ba 3.22-3.36

Record 12
Here is a relaxed structure of Ba2PbSe2 from the Alexandria database. Energies are from PBE.

Calculated values
As for the energy above the most stable polymorph in this dataset: 0.538 eV/atom.

a = 5.6567 Å, b = 5.6567 Å, c = 13.3509 Å
α = 90.00°, β = 90.00°, γ = 90.00°
Closest atoms and distances in Å follow each position.
Space group I4/mmm (No. 139)
Symmetry-distinct sites (fractional):
Ba  0.0000  0.5000  0.2500  4 Se 3.21
Pb  0.0000  0.0000  0.0000  8 Ba 4.37, 10 Se 4.39-4.86
Se  0.0000  0.0000  0.3640  4 Ba 3.21

Record 13
Here is a relaxed structure of Ba2PbSe2 from the Alexandria database. Energies are from PBE.

Calculated values
As for the energy above the most stable polymorph in this dataset: 0.000 eV/atom.

a = 8.7773 Å, b = 8.7773 Å, c = 4.3921 Å
α = 90.00°, β = 90.00°, γ = 90.00°
Closest atoms and distances in Å follow each position.
Space group P4/mbm (No. 127)
Symmetry-distinct sites (fractional):
Ba  0.1555  0.3445  0.0000  6 Se 3.23-3.49
Pb  0.0000  0.0000  0.5000  4 Se 3.32
Se  0.1541  0.6541  0.5000  6 Ba 3.23-3.49, 2 Pb 3.32

Record 14
Here is a relaxed structure of Ba4PbSe5 from the Alexandria database. Energies are from PBE.

Calculated values
For the electronic total energy, the calculation gives -92.59 eV for the cell shown.

a = 10.4273 Å, b = 10.4273 Å, c = 6.6464 Å
α = 90.00°, β = 90.00°, γ = 90.00°
Closest atoms and distances in Å follow each position.
Space group I4 (No. 79)
Symmetry-distinct sites (fractional):
Ba  0.1004  0.7011  0.0000  6 Se 3.30-3.37
Pb  0.0000  0.0000  0.5276  5 Se 2.91-3.23
Se  0.0000  0.0000  0.9647  1 Pb 2.91
Se  0.0975  0.7061  0.5010  1 Pb 3.23, 5 Ba 3.30-3.37

Record 15
Here is a relaxed structure of Ba2Pb2Se from the Alexandria database. Energies are from PBE.

Calculated values
For the electronic total energy, the calculation gives -36.31 eV for the cell shown.

a = 8.9482 Å, b = 8.9482 Å, c = 5.4370 Å
α = 90.00°, β = 90.00°, γ = 90.00°
Closest atoms and distances in Å follow each position.
Space group P4/mbm (No. 127)
Symmetry-distinct sites (fractional):
Ba  0.1938  0.3062  0.0000  2 Se 3.24
Pb  0.1120  0.6120  0.5000  1 Pb 2.83
Se  0.0000  0.0000  0.0000  4 Ba 3.24

Record 16
Here is a relaxed structure of BaPbSe2 from the Alexandria database. Energies are from PBE.

Calculated values
For the electronic total energy, the calculation gives -17.77 eV for the cell shown.

a = 4.5446 Å, b = 6.4484 Å, c = 4.6835 Å
α = 90.00°, β = 90.00°, γ = 90.00°
Closest atoms and distances in Å follow each position.
Space group Pmm2 (No. 25)
Symmetry-distinct sites (fractional):
Ba  0.0000  0.0000  0.0000  6 Se 3.24-3.27
Pb  0.5000  0.5000  0.5319  4 Se 2.98-3.23
Se  0.0000  0.5000  0.9434  2 Pb 2.98, 2 Ba 3.24
Se  0.5000  0.0000  0.5021  2 Pb 3.23, 4 Ba 3.26-3.27

Record 17
Here is a relaxed structure of BaPbSe4 from the Alexandria database. Energies are from PBE.

Calculated values
For the electronic total energy, the calculation gives -84.09 eV for the cell shown.

a = 8.6277 Å, b = 8.6277 Å, c = 8.6277 Å
α = 90.00°, β = 90.00°, γ = 90.00°
Closest atoms and distances in Å follow each position.
Space group F-43m (No. 216)
Symmetry-distinct sites (fractional):
Ba  0.0000  0.0000  0.0000  12 Se 3.58, 4 Pb 3.74
Pb  0.2500  0.2500  0.7500  12 Se 3.58, 4 Ba 3.74
Se  0.1244  0.1244  0.3756  6 Se 3.04-3.07

Record 18
Here is a relaxed structure of BaPbSe2 from the Alexandria database. Energies are from PBE.

Calculated values
For the electronic total energy, the calculation gives -58.29 eV for the cell shown.

a = 7.7983 Å, b = 7.7983 Å, c = 7.7983 Å
α = 90.00°, β = 90.00°, γ = 90.00°
Closest atoms and distances in Å follow each position.
Space group F-43m (No. 216)
Symmetry-distinct sites (fractional):
Ba  0.0000  0.0000  0.0000  4 Pb 3.38, 4 Se 3.38
Pb  0.2500  0.2500  0.7500  4 Ba 3.38, 4 Se 3.38
Se  0.0000  0.0000  0.5000  4 Pb 3.38, 4 Se 3.38
Se  0.2500  0.2500  0.2500  4 Ba 3.38, 4 Se 3.38

Record 19
Here is a relaxed structure of Ba2PbSe from the Alexandria database. Energies are from PBE.

Calculated values
As for the energy above the most stable polymorph in this dataset: 0.315 eV/atom.

a = 8.4304 Å, b = 8.4304 Å, c = 8.4304 Å
α = 90.00°, β = 90.00°, γ = 90.00°
Closest atoms and distances in Å follow each position.
Space group Fm-3m (No. 225)
Symmetry-distinct sites (fractional):
Ba  0.2500  0.2500  0.2500  4 Se 3.65, 4 Pb 3.65
Pb  0.0000  0.0000  0.0000  8 Ba 3.65
Se  0.0000  0.0000  0.5000  8 Ba 3.65

Record 20
Here is a relaxed structure of Ba2PbSe from the Alexandria database. Energies are from PBE.

Calculated values
As for the energy above the most stable polymorph in this dataset: 0.000 eV/atom.

a = 4.5629 Å, b = 4.5629 Å, c = 27.8017 Å
α = 90.00°, β = 90.00°, γ = 120.00°
Closest atoms and distances in Å follow each position.
Space group R-3m (No. 166, hexagonal axes)
Symmetry-distinct sites (fractional):
Ba  0.0000  0.0000  0.2379  3 Se 3.30
Pb  0.0000  0.0000  0.0000  6 Ba 3.74
Se  0.0000  0.0000  0.5000  6 Ba 3.30

Record 21
Here is a relaxed structure of BaPbSe2 from the Alexandria database. Energies are from PBE.

Calculated values
For the electronic total energy, the calculation gives -47.47 eV for the cell shown.

a = 4.9475 Å, b = 4.9475 Å, c = 26.5445 Å
α = 90.00°, β = 90.00°, γ = 120.00°
Closest atoms and distances in Å follow each position.
Space group R-3m (No. 166, hexagonal axes)
Symmetry-distinct sites (fractional):
Ba  0.0000  0.0000  0.0000  6 Se 3.30
Pb  0.0000  0.0000  0.5000  2 Se 2.77
Se  0.0000  0.0000  0.3957  1 Pb 2.77

Record 22
Here is a relaxed structure of BaPbSe2 from the Alexandria database. Energies are from PBE.

Calculated values
For the electronic total energy, the calculation gives -32.91 eV for the cell shown.

a = 4.4876 Å, b = 4.4876 Å, c = 12.4225 Å
α = 90.00°, β = 90.00°, γ = 90.00°
Closest atoms and distances in Å follow each position.
Space group I-4m2 (No. 119)
Symmetry-distinct sites (fractional):
Ba  0.0000  0.0000  0.0000  4 Se 3.17
Pb  0.0000  0.5000  0.7500  4 Se 3.17
Se  0.0000  0.0000  0.5000  4 Ba 3.17
Se  0.0000  0.5000  0.2500  4 Pb 3.17

Record 23
Here is a relaxed structure of BaPb2Se from the Alexandria database. Energies are from PBE.

Calculated values
For the electronic total energy, the calculation gives -31.03 eV for the cell shown.

a = 9.7009 Å, b = 5.1026 Å, c = 8.1321 Å
α = 90.00°, β = 124.03°, γ = 90.00°
Closest atoms and distances in Å follow each position.
Space group Cm (No. 8)
Symmetry-distinct sites (fractional):
Ba  0.0000  0.0000  0.0000  3 Se 3.09-3.11
Pb  0.1138  0.0000  0.5929  1 Se 2.89, 2 Pb 3.24
Pb  0.2171  0.5000  0.4391  3 Pb 3.24-3.31, 1 Se 3.37
Se  0.3303  0.0000  0.0216  1 Pb 2.89, 3 Ba 3.09-3.11

Record 24
Here is a relaxed structure of BaPb2Se from the Alexandria database. Energies are from PBE.

Calculated values
For the electronic total energy, the calculation gives -31.75 eV for the cell shown.

a = 6.4783 Å, b = 6.4716 Å, c = 7.5989 Å
α = 90.00°, β = 114.31°, γ = 90.00°
Closest atoms and distances in Å follow each position.
Space group C2/m (No. 12)
Symmetry-distinct sites (fractional):
Ba  0.0000  0.0000  0.0000  4 Se 3.24
Pb  0.2196  0.5000  0.4381  1 Se 3.03, 4 Pb 3.34-3.36
Se  0.0000  0.5000  0.0000  2 Pb 3.03, 4 Ba 3.24

Record 25
Here is a relaxed structure of Ba2PbSe from the Alexandria database. Energies are from PBE.

Calculated values
As for the energy above the most stable polymorph in this dataset: 0.719 eV/atom.

a = 8.2500 Å, b = 8.2500 Å, c = 8.2500 Å
α = 90.00°, β = 90.00°, γ = 90.00°
Closest atoms and distances in Å follow each position.
Space group F-43m (No. 216)
Symmetry-distinct sites (fractional):
Ba  0.0000  0.0000  0.0000  4 Ba 3.57, 4 Pb 3.57
Ba  0.2500  0.2500  0.2500  4 Ba 3.57, 4 Se 3.57
Pb  0.2500  0.2500  0.7500  4 Ba 3.57, 4 Se 3.57
Se  0.0000  0.0000  0.5000  4 Ba 3.57, 4 Pb 3.57

Record 26
Here is a relaxed structure of Ba3PbSe from the Alexandria database. Energies are from PBE.

Calculated values
As for the energy above the most stable polymorph in this dataset: 0.000 eV/atom.

a = 6.2245 Å, b = 6.2245 Å, c = 6.2245 Å
α = 90.00°, β = 90.00°, γ = 90.00°
Closest atoms and distances in Å follow each position.
Space group Pm-3m (No. 221)
Symmetry-distinct sites (fractional):
Ba  0.0000  0.0000  0.5000  2 Se 3.11
Pb  0.5000  0.5000  0.5000  12 Ba 4.40
Se  0.0000  0.0000  0.0000  6 Ba 3.11

Record 27
Here is a relaxed structure of BaPb2Se from the Alexandria database. Energies are from PBE.

Calculated values
For the electronic total energy, the calculation gives -28.30 eV for the cell shown.

a = 6.1392 Å, b = 6.1595 Å, c = 7.0902 Å
α = 90.00°, β = 90.00°, γ = 90.00°
Closest atoms and distances in Å follow each position.
Space group Cmmm (No. 65)
Symmetry-distinct sites (fractional):
Ba  0.0000  0.0000  0.0000  2 Se 3.55, 8 Pb 3.72-3.73
Pb  0.0000  0.5000  0.2957  1 Pb 2.90
Se  0.0000  0.0000  0.5000  8 Pb 3.39-3.40, 2 Ba 3.55